No. 1
Density functional theory data (PBE) for a geometry-optimized NaCaICl2 structure.

The structure in POSCAR format:
```
NaCaICl2
1.0
5.3011 0.0000 0.0000
0.0000 5.3011 0.0000
0.0000 0.0000 6.3441
Na Ca I Cl
1 1 1 2
direct
0.0000 0.0000 0.0000 Na
0.5000 0.5000 0.5000 Ca
0.5000 0.5000 0.0000 I
0.0000 0.5000 0.5000 Cl
0.5000 0.0000 0.5000 Cl
```

Summary:
ΔE to the lowest computed polymorph   0.0 meV/atom
Space-group type   No. 123

No. 2
Density functional theory data (PBE) for a geometry-optimized ZnCu structure.

The structure in POSCAR format:
```
ZnCu
1.0
5.0894 0.0000 0.0000
-2.5447 4.4076 0.0000
0.0000 0.0000 4.1855
Zn Cu
3 3
direct
0.0000 0.5000 0.0000 Zn
0.5000 0.0000 0.0000 Zn
0.5000 0.5000 0.0000 Zn
0.0000 0.0000 0.0000 Cu
0.3333 0.6667 0.5000 Cu
0.6667 0.3333 0.5000 Cu
```

Summary:
Space-group type   No. 191
Energy of formation from the pure elements   0.19 eV/atom

No. 3
Density functional theory data (PBE) for a geometry-optimized SmTmCo10 structure.

The structure in POSCAR format:
```
SmTmCo10
1.0
3.9470 0.0000 0.0000
0.0000 4.9222 0.0000
0.0000 0.0000 8.5551
Sm Tm Co
1 1 10
direct
0.0000 0.0000 0.0000 Sm
0.0000 0.5000 0.5000 Tm
0.0000 0.0000 0.3381 Co
0.0000 0.0000 0.6619 Co
0.0000 0.5000 0.1746 Co
0.0000 0.5000 0.8254 Co
0.5000 0.0000 0.5000 Co
0.5000 0.2525 0.2539 Co
0.5000 0.2525 0.7461 Co
0.5000 0.5000 0.0000 Co
0.5000 0.7475 0.2539 Co
0.5000 0.7475 0.7461 Co
```

Summary:
Space-group type   No. 47
Energy of formation from the pure elements   -0.10 eV/atom

No. 4
Density functional theory data (PBE) for a geometry-optimized PrNi4Sn structure.

The structure in POSCAR format:
```
PrNi4Sn
1.0
2.0042 -8.1982 0.0000
2.0042 8.1982 0.0000
0.0000 0.0000 5.9494
Pr Ni Sn
2 8 2
direct
0.0952 0.9048 0.7500 Pr
0.9048 0.0952 0.2500 Pr
0.0767 0.9233 0.2500 Ni
0.3487 0.6513 0.5570 Ni
0.3487 0.6513 0.9430 Ni
0.5000 0.5000 0.0000 Ni
0.5000 0.5000 0.5000 Ni
0.6513 0.3487 0.0570 Ni
0.6513 0.3487 0.4430 Ni
0.9233 0.0767 0.7500 Ni
0.2351 0.7649 0.2500 Sn
0.7649 0.2351 0.7500 Sn
```

Summary:
Space-group type   No. 63
Energy of formation from the pure elements   -0.19 eV/atom

No. 5
Density functional theory data (PBE) for a geometry-optimized ZnRe2As structure.

The structure in POSCAR format:
```
ZnRe2As
1.0
2.9158 0.0000 0.0000
0.0000 4.3858 0.0000
-1.2980 0.0000 4.7892
Zn Re As
1 2 1
direct
0.0000 0.0000 0.0000 Zn
0.2929 0.5000 0.6733 Re
0.7169 0.0000 0.4766 Re
0.5824 0.5000 0.2125 As
```

Summary:
ΔE to the lowest computed polymorph   156.7 meV/atom
Space-group type   No. 6
Energy of formation from the pure elements   0.30 eV/atom

No. 6
Density functional theory data (PBE) for a geometry-optimized In2SnBiI structure.

The structure in POSCAR format:
```
In2SnBiI
1.0
6.0057 0.0000 0.0000
0.0000 6.0057 0.0000
0.0000 0.0000 5.8212
In Sn Bi I
2 1 1 1
direct
0.0000 0.5000 0.0000 In
0.5000 0.0000 0.0000 In
0.0000 0.0000 0.0000 Sn
0.0000 0.0000 0.5000 Bi
0.5000 0.5000 0.5000 I
```

Summary:
Space-group type   No. 123

No. 7
Density functional theory data (PBE) for a geometry-optimized PaZnF structure.

The structure in POSCAR format:
```
PaZnF
1.0
14.2576 0.0000 0.0000
0.0000 1.5458 2.6779
0.0000 -1.5458 2.6779
Pa Zn F
2 2 2
direct
0.1864 0.0000 0.0000 Pa
0.8136 0.0000 0.0000 Pa
0.0000 0.3325 0.3325 Zn
0.5000 0.3388 0.3388 Zn
0.3101 0.3335 0.3335 F
0.6899 0.3335 0.3335 F
```

Summary:
Space-group type   No. 38

No. 8
Density functional theory data (PBE) for a geometry-optimized LiSiTe2 structure.

The structure in POSCAR format:
```
LiSiTe2
1.0
4.0439 0.0000 0.0000
0.0000 4.2141 0.0000
0.0000 0.0000 5.6018
Li Si Te
1 1 2
direct
0.0000 0.0000 0.0000 Li
0.0000 0.5000 0.5000 Si
0.5000 0.0000 0.5000 Te
0.5000 0.5000 0.0000 Te
```

Summary:
ΔE to the lowest computed polymorph   334.9 meV/atom
Space-group type   No. 47

Number 1: total energy -3.488 eV/atom. Number 2: total energy -2.499 eV/atom. Number 3: total energy -6.785 eV/atom. Number 4: total energy -5.509 eV/atom. Number 5: total energy -7.405 eV/atom. Number 6: total energy -2.726 eV/atom. Number 7: total energy -5.339 eV/atom. Number 8: total energy -3.368 eV/atom.